(1)
! ErCrGe | Alexandria via LeMat-Bulk | PBE | relaxed; values from VASP
&SYSTEM
  ibrav = 0, nat = 6, ntyp = 3
/
ATOMIC_SPECIES
Er 167.26 Er.upf
Cr 52.00 Cr.upf
Ge 72.64 Ge.upf
ATOMIC_POSITIONS angstrom
Er 0.975 0.975 1.163
Er 2.925 2.925 6.139
Cr 0.975 2.925 3.651
Cr 2.925 0.975 3.651
Ge 0.975 0.975 5.283
Ge 2.925 2.925 2.019
CELL_PARAMETERS angstrom
3.900 0.000 0.000
0.000 3.900 0.000
0.000 0.000 7.302
! D(E_F)   5.7 states/eV per cell
! ΔE_f   -0.3749 eV/atom
! Magnetization   1.26 μB/f.u.

(2)
! Er12Cr3H5 | Alexandria via LeMat-Bulk | PBE | relaxed; values from VASP
&SYSTEM
  ibrav = 0, nat = 80, ntyp = 3
/
ATOMIC_SPECIES
Er 167.26 Er.upf
Cr 52.00 Cr.upf
H 1.01 H.upf
ATOMIC_POSITIONS angstrom
Er 2.319 -0.555 0.859
Er 9.010 4.635 -4.332
Er 9.872 0.555 0.859
Er 9.010 -2.918 4.332
Er 6.998 -0.859 2.319
Er 11.885 -1.457 2.918
Er 0.859 2.319 -0.555
Er 10.471 3.221 -1.457
Er 4.635 4.332 -1.457
Er 6.694 2.319 0.555
Er -0.555 0.859 2.319
Er 4.332 -1.457 4.635
Er 6.998 6.694 -2.319
Er 4.332 1.457 2.918
Er 4.635 -4.332 9.010
Er 6.694 -2.319 6.998
Er 2.918 4.332 1.457
Er 8.412 5.234 0.555
Er 4.332 9.010 -2.918
Er 6.998 0.859 5.234
Er 2.319 6.998 -0.859
Er 9.010 2.918 3.221
Er 1.457 2.918 4.332
Er 2.319 0.555 6.694
Er 5.234 6.998 0.859
Er 6.096 4.635 3.221
Er -1.457 4.635 4.332
Er 5.234 0.555 8.412
Er 0.555 6.694 2.319
Er 3.221 -1.457 10.471
Er -0.859 2.319 6.998
Er 4.635 3.221 6.096
Er 0.859 9.872 0.555
Er 2.918 11.885 -1.457
Er 3.221 6.096 4.635
Er 0.555 0.859 9.872
Er 3.221 9.010 2.918
Er 8.108 6.694 5.234
Er 0.859 5.234 6.998
Er 2.918 3.221 9.010
Er -2.918 4.332 9.010
Er 6.694 5.234 8.108
Er -4.332 9.010 4.635
Er 0.555 8.412 5.234
Er -1.457 10.471 3.221
Er -2.319 6.998 6.694
Er -1.457 2.918 11.885
Er 5.234 8.108 6.694
Cr 3.776 1.888 0.000
Cr 7.553 3.776 -1.888
Cr 1.888 0.000 3.776
Cr 9.441 0.000 3.776
Cr 0.000 3.776 1.888
Cr 3.776 -1.888 7.553
Cr 3.776 9.441 0.000
Cr 7.553 3.776 5.665
Cr -1.888 7.553 3.776
Cr 5.665 7.553 3.776
Cr 0.000 3.776 9.441
Cr 3.776 5.665 7.553
H 0.000 0.000 0.000
H 3.776 3.776 -3.776
H 3.776 -3.776 3.776
H 7.553 0.000 0.000
H 11.329 1.888 0.000
H 7.553 -3.776 5.665
H 5.665 7.553 -3.776
H 5.665 0.000 3.776
H 3.776 5.665 0.000
H 7.553 3.776 1.888
H -3.776 3.776 3.776
H 0.000 7.553 0.000
H 0.000 0.000 7.553
H 3.776 3.776 3.776
H 0.000 3.776 5.665
H 3.776 1.888 7.553
H 1.888 7.553 3.776
H 1.888 0.000 11.329
H 0.000 11.329 1.888
H -3.776 5.665 7.553
CELL_PARAMETERS angstrom
-7.553 7.553 7.553
7.553 -7.553 7.553
7.553 7.553 -7.553
! DFT total energy   -5.01 eV per atom
! D(E_F)   70.5 states/eV per cell
! Magnetization   8.10 μB/f.u.

(3)
! ErCrH3 | Alexandria via LeMat-Bulk | PBE | relaxed; values from VASP
&SYSTEM
  ibrav = 0, nat = 5, ntyp = 3
/
ATOMIC_SPECIES
Er 167.26 Er.upf
Cr 52.00 Cr.upf
H 1.01 H.upf
ATOMIC_POSITIONS angstrom
Er 0.000 0.000 0.000
Cr 1.758 1.758 1.758
H 0.000 1.758 1.758
H 1.758 0.000 1.758
H 1.758 1.758 0.000
CELL_PARAMETERS angstrom
3.515 0.000 0.000
0.000 3.515 0.000
0.000 0.000 3.515
! DFT total energy   -5.12 eV per atom
! D(E_F)   1.2 states/eV per cell
! Magnetization   0.00 μB/f.u.

(4)
! ErCrH | Alexandria via LeMat-Bulk | PBE | relaxed; values from VASP
&SYSTEM
  ibrav = 0, nat = 6, ntyp = 3
/
ATOMIC_SPECIES
Er 167.26 Er.upf
Cr 52.00 Cr.upf
H 1.01 H.upf
ATOMIC_POSITIONS angstrom
Er 1.634 0.000 0.000
Er 8.428 0.000 0.000
Cr 4.052 0.000 3.549
Cr 6.010 0.000 3.549
H 0.000 0.000 1.784
H 5.031 0.000 1.765
CELL_PARAMETERS angstrom
10.062 0.000 0.000
0.000 1.546 2.673
0.000 -1.546 2.673
! DFT total energy   -5.50 eV per atom
! D(E_F)   4.7 states/eV per cell
! Magnetization   0.00 μB/f.u.